Entry from the Alexandria database: an optimized crystal structure of ReAsPb2 (PBE).

The space group is C2/m (No. 12) and the conventional cell measures 9.806, 3.427 and 5.348 Å, with angles of 90.00, 97.69 and 90.00 degrees. The distinct sites, in fractional coordinates, are Re at (0.000, 0.000, 0.000), As at (0.000, 0.500, 0.500) and Pb at (0.229, 0.500, 0.231).

The total energy is -5.1541 eV per atom. For the density of states at the Fermi level, the calculation gives 7.1 states/eV per cell.


Entry from the Alexandria database: an optimized crystal structure of Re2AsPb (PBE).

The space group is R-3m (No. 166, hexagonal axes) and the conventional cell measures 3.0168, 3.0168 and 27.0209 Å, with angles of 90.00, 90.00 and 120.00 degrees. The distinct sites, in fractional coordinates, are Re at (0.0000, 0.0000, 0.2364), As at (0.0000, 0.0000, 0.5000) and Pb at (0.0000, 0.0000, 0.0000).

The distance to the lowest polymorph of the same formula comes out at 505 meV per atom. For the density of states at the Fermi level, the calculation gives 14.7 states/eV per cell.


Entry from the Alexandria database: an optimized crystal structure of ReAsPb2 (PBE).

The space group is Cm (No. 8) and the conventional cell measures 8.632, 3.349 and 7.367 Å, with angles of 90.00, 107.77 and 90.00 degrees. The distinct sites, in fractional coordinates, are Re at (0.000, 0.000, 0.000), As at (0.207, 0.500, 0.997), Pb at (0.006, 0.500, 0.323) and Pb at (0.334, 0.000, 0.673).

The total energy is -5.8482 eV per atom. For the density of states at the Fermi level, the calculation gives 0.4 states/eV per cell.


Entry from the Alexandria database: an optimized crystal structure of Re2AsPb (PBE).

The space group is I-4m2 (No. 119) and the conventional cell measures 4.310, 4.310 and 7.633 Å, with angles of 90.00, 90.00 and 90.00 degrees. The distinct sites, in fractional coordinates, are Re at (0.000, 0.000, 0.000), Re at (0.000, 0.500, 0.250), As at (0.000, 0.500, 0.750) and Pb at (0.000, 0.000, 0.500).

The distance to the lowest polymorph of the same formula comes out at 728 meV per atom. For the density of states at the Fermi level, the calculation gives 7.3 states/eV per cell.


Entry from the Alexandria database: an optimized crystal structure of Re2AsPb (PBE).

The space group is Fm-3m (No. 225) and the conventional cell measures 6.473, 6.473 and 6.473 Å, with angles of 90.00, 90.00 and 90.00 degrees. The distinct sites, in fractional coordinates, are Re at (0.250, 0.250, 0.250), As at (0.000, 0.000, 0.000) and Pb at (0.000, 0.000, 0.500).

The distance to the lowest polymorph of the same formula comes out at 675 meV per atom. For the density of states at the Fermi level, the calculation gives 14.0 states/eV per cell.


Entry from the Alexandria database: an optimized crystal structure of Re2AsPb (PBE).

The space group is R3m (No. 160, hexagonal axes) and the conventional cell measures 2.9773, 2.9773 and 31.9559 Å, with angles of 90.00, 90.00 and 120.00 degrees. The distinct sites, in fractional coordinates, are Re at (0.0000, 0.0000, 0.0000), Re at (0.0000, 0.0000, 0.2691), As at (0.0000, 0.0000, 0.7290) and Pb at (0.0000, 0.0000, 0.5203).

The distance to the lowest polymorph of the same formula comes out at 122 meV per atom. For the density of states at the Fermi level, the calculation gives 9.8 states/eV per cell.


Entry from the Alexandria database: an optimized crystal structure of ReAsPb2 (PBE).

The space group is Cmm2 (No. 35) and the conventional cell measures 3.383, 5.406 and 10.515 Å, with angles of 90.00, 90.00 and 90.00 degrees. The distinct sites, in fractional coordinates, are Re at (0.000, 0.000, 0.000), As at (0.000, 0.500, 0.165), Pb at (0.000, 0.000, 0.460) and Pb at (0.000, 0.500, 0.765).

The total energy is -5.5909 eV per atom. For the density of states at the Fermi level, the calculation gives 7.1 states/eV per cell.


Entry from the Alexandria database: an optimized crystal structure of Re2AsPb (PBE).

The space group is C2/m (No. 12) and the conventional cell measures 8.241, 3.121 and 5.924 Å, with angles of 90.00, 104.05 and 90.00 degrees. The distinct sites, in fractional coordinates, are Re at (0.236, 0.000, 0.180), As at (0.000, 0.500, 0.000) and Pb at (0.000, 0.000, 0.500).

The distance to the lowest polymorph of the same formula comes out at 442 meV per atom. For the density of states at the Fermi level, the calculation gives 6.0 states/eV per cell.


Entry from the Alexandria database: an optimized crystal structure of Re2AsPb (PBE).

The space group is I-42d (No. 122) and the conventional cell measures 4.284, 4.284 and 17.967 Å, with angles of 90.00, 90.00 and 90.00 degrees. The distinct sites, in fractional coordinates, are Re at (0.152, 0.250, 0.125), As at (0.000, 0.000, 0.000) and Pb at (0.000, 0.000, 0.500).

The distance to the lowest polymorph of the same formula comes out at 578 meV per atom. For the density of states at the Fermi level, the calculation gives 9.5 states/eV per cell.


Entry from the Alexandria database: an optimized crystal structure of ReAsPb2 (PBE).

The space group is Cmmm (No. 65) and the conventional cell measures 3.806, 4.800 and 9.985 Å, with angles of 90.00, 90.00 and 90.00 degrees. The distinct sites, in fractional coordinates, are Re at (0.000, 0.000, 0.000), As at (0.000, 0.000, 0.500) and Pb at (0.000, 0.500, 0.228).

The total energy is -5.2422 eV per atom. For the density of states at the Fermi level, the calculation gives 5.5 states/eV per cell.


Entry from the Alexandria database: an optimized crystal structure of ReAsPb2 (PBE).

The space group is Imm2 (No. 44) and the conventional cell measures 3.291, 4.629 and 12.698 Å, with angles of 90.00, 90.00 and 90.00 degrees. The distinct sites, in fractional coordinates, are Re at (0.000, 0.000, 0.000), As at (0.000, 0.500, 0.354), Pb at (0.000, 0.000, 0.539) and Pb at (0.000, 0.500, 0.728).

The total energy is -5.6165 eV per atom. For the density of states at the Fermi level, the calculation gives 6.2 states/eV per cell.


Entry from the Alexandria database: an optimized crystal structure of Re2AsPb (PBE).

The space group is Imm2 (No. 44) and the conventional cell measures 3.190, 4.297 and 10.290 Å, with angles of 90.00, 90.00 and 90.00 degrees. The distinct sites, in fractional coordinates, are Re at (0.000, 0.000, 0.000), Re at (0.000, 0.500, 0.244), As at (0.000, 0.500, 0.690) and Pb at (0.000, 0.000, 0.445).

The distance to the lowest polymorph of the same formula comes out at 574 meV per atom. For the density of states at the Fermi level, the calculation gives 4.6 states/eV per cell.